Entry from Alexandria via LeMat-Bulk: crystalline Tc2AsPb at its relaxed geometry (PBE-GGA).

Summary:
Symmetry: P4/mmm
Calculated formation energy (meV/atom): 479
Total magnetic moment (μB/cell): 0.00

a = 4.5590 Å, b = 4.5590 Å, c = 3.2380 Å
α = 90.00°, β = 90.00°, γ = 90.00°
Fractional positions:
Tc1 0.0000 0.5000 0.0000
Tc2 0.5000 0.0000 0.0000
As1 0.0000 0.0000 0.5000
Pb1 0.5000 0.5000 0.5000

---

Entry from Alexandria via LeMat-Bulk: crystalline TbAgPb2 at its relaxed geometry (PBE-GGA).

Summary:
Symmetry: P4/mmm
Calculated formation energy (meV/atom): -103
Total magnetic moment (μB/cell): 0.00

a = 3.7385 Å, b = 3.7385 Å, c = 7.5547 Å
α = 90.00°, β = 90.00°, γ = 90.00°
Fractional positions:
Tb1 0.0000 0.0000 0.0000
Ag1 0.0000 0.0000 0.5000
Pb1 0.5000 0.5000 0.2737
Pb2 0.5000 0.5000 0.7263

---

Entry from Alexandria via LeMat-Bulk: crystalline SmSiTc at its relaxed geometry (PBE-GGA).

Summary:
Symmetry: P4/nmm
Energy relative to the elements, uncorrected (eV/atom): -0.5664
Total magnetic moment (μB/cell): 0.00

a = 4.3662 Å, b = 4.3662 Å, c = 6.5267 Å
α = 90.00°, β = 90.00°, γ = 90.00°
Fractional positions:
Sm1 0.2500 0.2500 0.1845
Sm2 0.7500 0.7500 0.8155
Si1 0.2500 0.2500 0.6791
Si2 0.7500 0.7500 0.3209
Tc1 0.2500 0.7500 0.5000
Tc2 0.7500 0.2500 0.5000

---

Entry from Alexandria via LeMat-Bulk: crystalline Dy4SiTe2Pb at its relaxed geometry (PBE-GGA).

Summary:
Symmetry: P2/m
Energy relative to the elements, uncorrected (eV/atom): -0.9989
Total magnetic moment (μB/cell): 0.00

a = 7.5422 Å, b = 4.2898 Å, c = 7.5623 Å
α = 90.00°, β = 108.99°, γ = 90.00°
Fractional positions:
Dy1 0.2291 0.0000 0.2235
Dy2 0.2415 0.5000 0.7667
Dy3 0.7585 0.5000 0.2333
Dy4 0.7709 0.0000 0.7765
Si1 0.0000 0.5000 0.0000
Te1 0.0000 0.0000 0.5000
Te2 0.5000 0.5000 0.5000
Pb1 0.5000 0.0000 0.0000

---

Entry from Alexandria via LeMat-Bulk: crystalline ZrSiSbTe2 at its relaxed geometry (PBE-GGA).

Summary:
Symmetry: P4/mmm
Energy relative to the elements, uncorrected (eV/atom): 0.4813
Total magnetic moment (μB/cell): 0.74

a = 5.1728 Å, b = 5.1728 Å, c = 5.1512 Å
α = 90.00°, β = 90.00°, γ = 90.00°
Fractional positions:
Zr1 0.0000 0.0000 0.0000
Si1 0.5000 0.5000 0.5000
Sb1 0.5000 0.5000 0.0000
Te1 0.0000 0.5000 0.5000
Te2 0.5000 0.0000 0.5000

---

Entry from Alexandria via LeMat-Bulk: crystalline SrTa2Ag2O7 at its relaxed geometry (PBE-GGA).

Summary:
Symmetry: C2/m
Energy relative to the elements, uncorrected (eV/atom): -2.2208
Total magnetic moment (μB/cell): 0.00

a = 11.2241 Å, b = 11.2241 Å, c = 3.9825 Å
α = 100.15°, β = 100.15°, γ = 20.53°
Fractional positions:
Sr1 0.0000 0.0000 0.0000
Ta1 0.4039 0.4039 0.4045
Ta2 0.5961 0.5961 0.5955
Ag1 0.2358 0.2358 0.7364
Ag2 0.7642 0.7642 0.2636
O1 0.0873 0.0873 0.5868
O2 0.3153 0.3153 0.3166
O3 0.4135 0.4135 0.9140
O4 0.5000 0.5000 0.5000
O5 0.5865 0.5865 0.0860
O6 0.6847 0.6847 0.6834
O7 0.9127 0.9127 0.4132

---

Entry from Alexandria via LeMat-Bulk: crystalline Mg2H3Pd2 at its relaxed geometry (PBE-GGA).

Summary:
Symmetry: P-1
Total magnetic moment (μB/cell): 0.00
Energy (eV per cell): -25.93

a = 3.1402 Å, b = 4.9016 Å, c = 5.2616 Å
α = 77.50°, β = 72.81°, γ = 89.95°
Fractional positions:
Mg1 0.1092 0.2981 0.2815
Mg2 0.8908 0.7019 0.7185
H1 0.2138 0.7568 0.0710
H2 0.5000 0.5000 0.5000
H3 0.7862 0.2432 0.9290
Pd1 0.3732 0.1720 0.7566
Pd2 0.6268 0.8280 0.2434

---

Entry from Alexandria via LeMat-Bulk: crystalline NiAsSe2Br at its relaxed geometry (PBE-GGA).

Summary:
Symmetry: P4/mmm
Energy relative to the elements, uncorrected (eV/atom): 0.4058
Total magnetic moment (μB/cell): 0.00

a = 4.7220 Å, b = 4.7220 Å, c = 4.7688 Å
α = 90.00°, β = 90.00°, γ = 90.00°
Fractional positions:
Ni1 0.0000 0.0000 0.0000
As1 0.5000 0.5000 0.5000
Se1 0.0000 0.5000 0.0000
Se2 0.5000 0.0000 0.0000
Br1 0.0000 0.0000 0.5000